Record 1
First-principles (PBE) data for a relaxed CaErZnAu crystal, as listed in Alexandria.

Crystal system: tetragonal
Excess energy over the best structure of this formula in the dataset: 0.000 eV/atom

Unit cell a=3.618 b=3.618 c=7.166 alpha=90.00 beta=90.00 gamma=90.00
Space group P4mm (No. 99)
Unique sites:
Ca 0.000 0.000 0.000 x1
Er 0.000 0.000 0.502 x1
Zn 0.500 0.500 0.270 x1
Au 0.500 0.500 0.724 x1

=====

Record 2
First-principles (PBE) data for a relaxed CaErZn2Au4 crystal, as listed in Alexandria.

Crystal system: trigonal

Unit cell a=4.8946 b=4.8946 c=23.0959 alpha=90.00 beta=90.00 gamma=120.00
Space group R-3m (No. 166, hexagonal axes)
Unique sites:
Ca 0.0000 0.0000 0.0000 x3
Er 0.0000 0.0000 0.5000 x3
Zn 0.0000 0.0000 0.2519 x6
Au 0.0000 0.0000 0.1309 x6
Au 0.0000 0.0000 0.3739 x6

=====

Record 3
First-principles (PBE) data for a relaxed Ca2EuAu crystal, as listed in Alexandria.

Crystal system: trigonal
Excess energy over the best structure of this formula in the dataset: 0.048 eV/atom

Unit cell a=4.1030 b=4.1030 c=30.5248 alpha=90.00 beta=90.00 gamma=120.00
Space group R-3m (No. 166, hexagonal axes)
Unique sites:
Ca 0.0000 0.0000 0.2251 x6
Eu 0.0000 0.0000 0.0000 x3
Au 0.0000 0.0000 0.5000 x3

=====

Record 4
First-principles (PBE) data for a relaxed Ca2EuAu crystal, as listed in Alexandria.

Crystal system: tetragonal
Excess energy over the best structure of this formula in the dataset: 0.000 eV/atom

Unit cell a=3.710 b=3.710 c=9.592 alpha=90.00 beta=90.00 gamma=90.00
Space group P4/mmm (No. 123)
Unique sites:
Ca 0.000 0.000 0.180 x2
Eu 0.500 0.500 0.500 x1
Au 0.500 0.500 0.000 x1

=====

Record 5
First-principles (PBE) data for a relaxed CaEuAu2 crystal, as listed in Alexandria.

Crystal system: tetragonal

Unit cell a=3.694 b=3.694 c=7.388 alpha=90.00 beta=90.00 gamma=90.00
Space group P4/mmm (No. 123)
Unique sites:
Ca 0.000 0.000 0.000 x1
Eu 0.000 0.000 0.500 x1
Au 0.500 0.500 0.239 x2

=====

Record 6
First-principles (PBE) data for a relaxed CaEuHgAu crystal, as listed in Alexandria.

Crystal system: cubic

Unit cell a=7.532 b=7.532 c=7.532 alpha=90.00 beta=90.00 gamma=90.00
Space group F-43m (No. 216)
Unique sites:
Ca 0.000 0.000 0.000 x4
Eu 0.000 0.000 0.500 x4
Hg 0.250 0.250 0.250 x4
Au 0.250 0.250 0.750 x4

=====

no.,total DFT energy (no corrections) (eV/atom),energy relative to the elements (meV/atom)
1,-3.350,-571
2,-3.352,-574
3,-4.736,-348
4,-4.785,-396
5,-5.491,-783
6,-4.610,-646